! GGA-PBEsol LiWI2, optimized geometry; values from VASP
&SYSTEM
  ibrav = 0, nat = 4, ntyp = 3
/
ATOMIC_SPECIES
I 126.90 I.upf
W 183.84 W.upf
Li 6.94 Li.upf
ATOMIC_POSITIONS crystal
I 0.250 0.250 0.250
I 0.750 0.750 0.750
W 0.500 0.500 0.500
Li 0.000 0.000 0.000
CELL_PARAMETERS angstrom
4.811 0.000 0.000
2.406 4.167 0.000
2.406 1.389 3.928
! Electronic total energy in eV per formula unit: -16.90
! E_form (uncorrected) in eV/f.u.: 2.41
! Space group: No. 225